The following is a DFT calculation (PBE-GGA) of crystalline Hg2WBr at its relaxed geometry.

```
Hg2WBr
1.0
-1.467 2.289 6.970
1.467 -2.289 6.970
1.467 2.289 -6.970
Hg W Br
2 1 1
direct
0.187 0.187 0.000 Hg
0.813 0.813 0.000 Hg
0.000 0.500 0.500 W
0.500 0.000 0.500 Br
```

Values from the calculation:
DFT total energy	-3.02	eV per atom
formation energy (no corrections)	787	meV per atom